VASP calculation (GGA+U) on CaNiO2 after structural relaxation.

Lattice parameters (Å, degrees): 4.686 4.686 6.230 67.91 67.91 90.00
Last column: magnetic moment on the atom in μB.
Positions (direct):
O: 0.674 0.125 0.250  0.08
O: 0.076 0.625 0.250  0.08
O: 0.875 0.924 0.750  0.08
O: 0.375 0.326 0.750  0.08
Ca: 0.250 0.750 0.500  0.01
Ca: 0.500 0.500 0.000  0.01
Ni: 0.000 0.000 0.000  1.75
Ni: 0.750 0.250 0.500  1.75

Values from the calculation:
final energy: -43.13 eV for the cell shown
magnetization: 4.00 μB per cell